This record from Alexandria via LeMat-Bulk describes an optimized crystal structure of RbGa2Pd2. The functional is PBE.

a = 8.175 Å, b = 8.175 Å, c = 2.872 Å
α = 90.00°, β = 90.00°, γ = 90.00°
Atoms (fractional coordinates):
Pd1 0.334 0.834 0.000
Pd2 0.834 0.666 0.000
Ga1 0.379 0.121 0.500
Rb1 0.500 0.500 0.000
Pd3 0.666 0.166 0.000
Ga2 0.121 0.621 0.500
Ga3 0.621 0.879 0.500
Pd4 0.166 0.334 0.000
Rb2 0.000 0.000 0.000
Ga4 0.879 0.379 0.500

Computed properties:
Energy above the most stable polymorph in this dataset: 97 meV/atom
Space-group type: No. 127



This record from Alexandria via LeMat-Bulk describes an optimized crystal structure of CsMgB3. The functional is PBE.

a = 4.889 Å, b = 4.889 Å, c = 4.889 Å
α = 90.00°, β = 90.00°, γ = 90.00°
Atoms (fractional coordinates):
Cs1 0.000 0.000 0.000
B1 0.000 0.000 0.500
Mg1 0.500 0.500 0.500
B2 0.000 0.500 0.000
B3 0.500 0.000 0.000

Computed properties:
Space-group type: No. 221



This record from Alexandria via LeMat-Bulk describes an optimized crystal structure of Cd2IrW. The functional is PBE.

a = 5.764 Å, b = 5.764 Å, c = 5.764 Å
α = 151.05°, β = 130.17°, γ = 58.66°
Atoms (fractional coordinates):
W1 0.250 0.750 0.500
Ir1 0.750 0.250 0.500
Cd1 0.509 0.509 0.000
Cd2 0.991 0.991 0.000

Computed properties:
Energy above the most stable polymorph in this dataset: 364 meV/atom
Space-group type: No. 71



This record from Alexandria via LeMat-Bulk describes an optimized crystal structure of Tb2ErHg2. The functional is PBE.

a = 3.751 Å, b = 5.277 Å, c = 13.729 Å
α = 90.00°, β = 97.90°, γ = 90.00°
Atoms (fractional coordinates):
Tb1 0.235 0.750 0.471
Hg1 0.549 0.250 0.099
Er1 0.146 0.250 0.293
Tb2 0.954 0.250 0.906
Hg2 0.357 0.250 0.713
Er2 0.854 0.750 0.707
Tb3 0.046 0.750 0.094
Hg3 0.643 0.750 0.287
Hg4 0.451 0.750 0.901
Tb4 0.765 0.250 0.529

Computed properties:
Energy above the most stable polymorph in this dataset: 0 meV/atom
Space-group type: No. 11



Formation energy from the elements, respectively: -0.26, 3.10, 0.44, -0.38 eV/atom.
Spin magnetization, respectively: 0.00, 0.00, 0.00, 0.00 μB per cell.
E_tot, respectively: -3.741, -1.396, -5.470, -3.268 eV per atom.